Record 1
Compound: TbThSc2P4
Source: Alexandria via LeMat-Bulk
Functional: GGA-PBE
Structure: relaxed

The value obtained for the calculated total energy is -58.6 eV for the cell shown.

The structure belongs to space group P2/m (No. 10); the cell edges are 6.7658, 3.9482 and 6.8256 Å and the angles 90.00°, 109.62° and 90.00°. The asymmetric unit holds Tb at (0.0000, 0.0000, 0.0000), Th at (0.0000, 0.5000, 0.5000), Sc at (0.5000, 0.0000, 0.5000), Sc at (0.5000, 0.5000, 0.0000), P at (0.2682, 0.5000, 0.2535) and P at (0.2714, 0.0000, 0.7604).

---

Record 2
Compound: Tb2ThScP4
Source: Alexandria via LeMat-Bulk
Functional: GGA-PBE
Structure: relaxed

The value obtained for the calculated total energy is -57.1 eV for the cell shown.

The structure belongs to space group P2/m (No. 10); the cell edges are 6.9055, 4.0145 and 6.9470 Å and the angles 90.00°, 109.45° and 90.00°. The asymmetric unit holds Tb at (0.0000, 0.0000, 0.0000), Tb at (0.5000, 0.5000, 0.0000), Th at (0.0000, 0.5000, 0.5000), Sc at (0.5000, 0.0000, 0.5000), P at (0.2599, 0.0000, 0.7493) and P at (0.2621, 0.5000, 0.2585).

---

Record 3
Compound: TbTm2Sc3P6
Source: Alexandria via LeMat-Bulk
Functional: GGA-PBE
Structure: relaxed

The value obtained for the calculated total energy is -166.9 eV for the cell shown.

The structure belongs to space group C2/m (No. 12); the cell edges are 6.7048, 11.6125 and 6.6862 Å and the angles 90.00°, 109.51° and 90.00°. The asymmetric unit holds Tb at (0.0000, 0.0000, 0.0000), Tm at (0.0000, 0.3332, 0.0000), Sc at (0.0000, 0.1660, 0.5000), Sc at (0.0000, 0.5000, 0.5000), P at (0.2441, 0.3319, 0.7366) and P at (0.2485, 0.0000, 0.7370).

---

Record 4
Compound: Tb2TmSc3P6
Source: Alexandria via LeMat-Bulk
Functional: GGA-PBE
Structure: relaxed

The value obtained for the calculated total energy is -167.2 eV for the cell shown.

The structure belongs to space group C2/m (No. 12); the cell edges are 6.7293, 11.6551 and 6.7080 Å and the angles 90.00°, 109.52° and 90.00°. The asymmetric unit holds Tb at (0.0000, 0.1665, 0.0000), Tm at (0.0000, 0.5000, 0.0000), Sc at (0.0000, 0.0000, 0.5000), Sc at (0.0000, 0.3326, 0.5000), P at (0.2420, 0.5000, 0.7348) and P at (0.2465, 0.1653, 0.7352).

---

Record 5
Compound: TbTmSc2P4
Source: Alexandria via LeMat-Bulk
Functional: GGA-PBE
Structure: relaxed

The value obtained for the calculated total energy is -55.7 eV for the cell shown.

The structure belongs to space group P2/m (No. 10); the cell edges are 6.6995, 3.8792 and 6.7149 Å and the angles 90.00°, 109.53° and 90.00°. The asymmetric unit holds Tb at (0.0000, 0.0000, 0.0000), Tm at (0.0000, 0.5000, 0.5000), Sc at (0.5000, 0.0000, 0.5000), Sc at (0.5000, 0.5000, 0.0000), P at (0.2632, 0.0000, 0.7520) and P at (0.2649, 0.5000, 0.2574).

---

Record 6
Compound: Tb2YScP4
Source: Alexandria via LeMat-Bulk
Functional: GGA-PBE
Structure: relaxed

The value obtained for the calculated total energy is -56.2 eV for the cell shown.

The structure belongs to space group P2/m (No. 10); the cell edges are 6.8560, 3.9649 and 6.8589 Å and the angles 90.00°, 109.49° and 90.00°. The asymmetric unit holds Tb at (0.0000, 0.0000, 0.0000), Tb at (0.0000, 0.5000, 0.5000), Y at (0.5000, 0.0000, 0.5000), Sc at (0.5000, 0.5000, 0.0000), P at (0.2558, 0.5000, 0.2452) and P at (0.2608, 0.0000, 0.7603).

---

Record 7
Compound: TbYSc2P4
Source: Alexandria via LeMat-Bulk
Functional: GGA-PBE
Structure: relaxed

The value obtained for the calculated total energy is -57.7 eV for the cell shown.

The structure belongs to space group P2/m (No. 10); the cell edges are 6.7255, 3.8965 and 6.7455 Å and the angles 90.00°, 109.54° and 90.00°. The asymmetric unit holds Tb at (0.0000, 0.0000, 0.0000), Y at (0.0000, 0.5000, 0.5000), Sc at (0.5000, 0.0000, 0.5000), Sc at (0.5000, 0.5000, 0.0000), P at (0.2661, 0.0000, 0.7550) and P at (0.2663, 0.5000, 0.2558).

---

Record 8
Compound: TbZrSc2P4
Source: Alexandria via LeMat-Bulk
Functional: GGA-PBE
Structure: relaxed

The value obtained for the calculated total energy is -59.4 eV for the cell shown.

The structure belongs to space group P2/m (No. 10); the cell edges are 6.5814, 3.8202 and 6.6219 Å and the angles 90.00°, 109.36° and 90.00°. The asymmetric unit holds Tb at (0.0000, 0.0000, 0.0000), Zr at (0.0000, 0.5000, 0.5000), Sc at (0.5000, 0.0000, 0.5000), Sc at (0.5000, 0.5000, 0.0000), P at (0.2557, 0.0000, 0.7442) and P at (0.2613, 0.5000, 0.2618).

---

What did the seventh record say?
Compound: TbYSc2P4
Source: Alexandria via LeMat-Bulk
Functional: GGA-PBE
Structure: relaxed

The value obtained for the calculated total energy is -57.7 eV for the cell shown.

The structure belongs to space group P2/m (No. 10); the cell edges are 6.7255, 3.8965 and 6.7455 Å and the angles 90.00°, 109.54° and 90.00°. The asymmetric unit holds Tb at (0.0000, 0.0000, 0.0000), Y at (0.0000, 0.5000, 0.5000), Sc at (0.5000, 0.0000, 0.5000), Sc at (0.5000, 0.5000, 0.0000), P at (0.2661, 0.0000, 0.7550) and P at (0.2663, 0.5000, 0.2558).